## Rb2Ni3HgF12 (PBE+U)

Data for a geometry-optimized Rb2Ni3HgF12 structure.

extended XYZ file:
```
18
Lattice="7.273 -0.054 -0.038 3.545 6.351 -0.038 3.545 2.063 6.006" Properties=species:S:1:pos:R:3 pbc="T T T"
Ni 3.636 -0.027 -0.019
Ni 1.772 3.175 -0.019
Ni 1.772 1.032 3.003
F 3.334 1.940 3.661
F 8.691 2.444 1.733
F 11.029 4.263 5.309
F 3.334 4.097 0.621
F 9.154 7.484 5.309
F 7.945 2.010 4.196
F 6.417 6.350 1.733
F 6.417 3.735 5.420
F 11.029 6.420 2.269
F 5.208 0.876 0.621
F 7.945 4.625 0.510
F 5.671 5.916 4.196
Rb 8.824 5.136 3.643
Rb 5.538 3.224 2.286
Hg 0.000 0.000 0.000
```

**Energy**: -0.1394 hartree per atom
**Density**: 4.6 Mg/m³
**Volume**: 280 Å³/f.u.